Run w
## In4HgIr (PBE-GGA)

Data for a relaxed structure of In4HgIr.

Calculated values
symmetry = F-43m (216)
total moment = 0.000 μB per cell
DOS(E_F) = 0.778 states/eV per atom

a = 5.8881 Å, b = 5.8881 Å, c = 5.8881 Å
α = 60.00°, β = 60.00°, γ = 60.00°
Positions (direct):
Hg (0.0000, 0.0000, 0.0000)
In (0.8733, 0.3756, 0.3756)
In (0.3756, 0.3756, 0.3756)
In (0.3756, 0.3756, 0.8733)
In (0.3756, 0.8733, 0.3756)
Ir (0.7500, 0.7500, 0.7500)

=====

Run x
## In4HgIr (PBE-GGA)

Data for a relaxed structure of In4HgIr.

Calculated values
symmetry = C2/m (12)
total moment = 0.000 μB per cell
DOS(E_F) = 0.286 states/eV per atom

a = 4.6347 Å, b = 4.6357 Å, c = 6.9159 Å
α = 90.08°, β = 90.04°, γ = 90.00°
Positions (direct):
Hg (0.5013, 0.4973, 0.9981)
In (0.0015, 0.4977, 0.7230)
In (0.5015, 0.9978, 0.7231)
Ir (0.0013, 0.9973, 0.4981)
In (0.5011, 0.9968, 0.2732)
In (0.0010, 0.4969, 0.2733)

=====

Which of them is the most stable? Correct choice: run x.